Here is crystalline CeAlTc at its relaxed geometry from Alexandria via LeMat-Bulk. Energies are from PBE.

Properties
- formation energy from the elements (eV per formula unit) = -1.1
- distance to the lowest polymorph of the same formula (eV/atom) = 0.000
- SG = Imma
- total magnetic moment (μB per formula unit) = 0.00

POSCAR file:
```
CeAlTc
1.0
-2.839 2.928 3.487
2.839 -2.928 3.487
2.839 2.928 -3.487
Ce Al Tc
2 2 2
direct
0.339 0.089 0.250
0.661 0.911 0.750
0.000 0.500 0.500
0.500 0.500 0.000
0.000 0.000 0.500
0.000 0.500 0.000
```